# 1
DFT (PBE) results for a relaxed TcNiIr4 crystal.

abc: 7.1943 7.1943 7.1943
angles: 90.00 90.00 90.00
Last column: nearest neighbours and their distance in Å.
Space group F-43m (No. 216)
Inequivalent atoms, fractional coordinates:
Tc1 0.0000 0.0000 0.0000 (multiplicity 4)  12 Ir 2.98, 4 Ni 3.12
Ni1 0.2500 0.2500 0.2500 (multiplicity 4)  12 Ir 2.98, 4 Tc 3.12
Ir1 0.1248 0.1248 0.6248 (multiplicity 16)  6 Ir 2.54-2.55

E above lowest polymorph	608.2	meV/atom

***

# 2
DFT (PBE) results for a relaxed YEr2TmSc crystal.

abc: 8.0777 11.1284 7.0391
angles: 90.00 90.00 90.00
Last column: nearest neighbours and their distance in Å.
Space group Cmcm (No. 63)
Inequivalent atoms, fractional coordinates:
Y1 0.0000 0.2366 0.2500 (multiplicity 4)  1 Sc 3.03
Er1 0.1973 0.0000 0.0000 (multiplicity 8)  2 Sc 3.01, 1 Er 3.19
Tm1 0.0000 0.2232 0.7500 (multiplicity 4)  1 Sc 2.98
Sc1 0.0000 0.4910 0.7500 (multiplicity 4)  1 Tm 2.98, 4 Er 3.01, 1 Y 3.03

***

The calculation returns the following DOS at the Fermi energy values, one per record and in order: 8.46 6.63 states/eV/f.u..
The calculation returns the following ΔE_f values, one per record and in order: 3.4 1.8 eV per formula unit.